{
  "formula": "TbGa2Pt9",
  "functional": "PBE",
  "state": "optimized geometry",
  "delta_e_f_mev_per_atom": -626,
  "lattice": [[4.030, 0.000, 0.000], [0.000, 4.030, 0.000], [0.000, 0.000, 11.915]],
  "species": ["Tb", "Ga", "Ga", "Pt", "Pt", "Pt", "Pt", "Pt", "Pt", "Pt", "Pt", "Pt"],
  "fractional_positions": [[0.000, 0.000, 0.000], [0.000, 0.000, 0.340], [0.000, 0.000, 0.660], [0.000, 0.500, 0.179], [0.000, 0.500, 0.500], [0.000, 0.500, 0.821], [0.500, 0.000, 0.179], [0.500, 0.000, 0.500], [0.500, 0.000, 0.821], [0.500, 0.500, 0.000], [0.500, 0.500, 0.340], [0.500, 0.500, 0.660]]
}